The following is a DFT calculation (PBE) of a geometry-optimized Ac6Ni2PbI3 structure.

a = 4.5276 Å, b = 10.0684 Å, c = 10.7911 Å
α = 108.43°, β = 102.11°, γ = 90.00°
Fractional coordinates of all 12 atoms:
Ac (0.3325, 0.8599, 0.6650)
Ac (0.6830, 0.5484, 0.3659)
Ac (0.6675, 0.1401, 0.3350)
Ac (0.0278, 0.2518, 0.0557)
Ac (0.9722, 0.7482, 0.9443)
Ac (0.3170, 0.4516, 0.6341)
Ni (0.8270, 0.6567, 0.6540)
Ni (0.1730, 0.3433, 0.3460)
Pb (0.5000, 0.0000, 0.0000)
I (0.5000, 0.5000, 0.0000)
I (0.8432, 0.1650, 0.6864)
I (0.1568, 0.8350, 0.3136)

Calculated values
Its space group is C2/m (12). The formation energy without anion corrections is -0.7115 eV/atom.

The following is a DFT calculation (PBE) of a geometry-optimized Ac8Ni3PbI4 structure.

a = 9.0575 Å, b = 9.9778 Å, c = 9.0563 Å
α = 116.98°, β = 120.00°, γ = 90.00°
Fractional coordinates of all 16 atoms:
Ac (0.2435, 0.6905, 0.9465)
Ac (0.2437, 0.6902, 0.4873)
Ac (0.2713, 0.3127, 0.5426)
Ac (0.7030, 0.6905, 0.9465)
Ac (0.2970, 0.3095, 0.0535)
Ac (0.7287, 0.6873, 0.4574)
Ac (0.7563, 0.3098, 0.5127)
Ac (0.7565, 0.3095, 0.0535)
Ni (0.5000, 0.5000, 0.0000)
Ni (0.5000, 0.5000, 0.5000)
Ni (0.0000, 0.5000, 0.5000)
Pb (0.0000, 0.5000, 0.0000)
I (0.5000, 0.0000, 0.0000)
I (0.5000, 0.0000, 0.5000)
I (0.0000, 0.0000, 0.0000)
I (0.0000, 0.0000, 0.5000)

Calculated values
Its space group is C2/m (12). The formation energy without anion corrections is -0.6760 eV/atom.

The following is a DFT calculation (PBE) of a geometry-optimized Ac4NiPbI2 structure.

a = 4.4837 Å, b = 8.4095 Å, c = 8.6578 Å
α = 106.10°, β = 90.00°, γ = 90.00°
Fractional coordinates of all 8 atoms:
Ac (0.5000, 0.2005, 0.1855)
Ac (0.5000, 0.7995, 0.8145)
Ac (0.0000, 0.2395, 0.7910)
Ac (0.0000, 0.7605, 0.2090)
Ni (0.0000, 0.0000, 0.0000)
Pb (0.5000, 0.5000, 0.0000)
I (0.5000, 0.0000, 0.5000)
I (0.0000, 0.5000, 0.5000)

Calculated values
Its space group is P2/m (10). The formation energy without anion corrections is -0.7046 eV/atom.

The following is a DFT calculation (PBE) of a geometry-optimized Ac4NiPdI2 structure.

a = 4.4488 Å, b = 7.6584 Å, c = 9.0067 Å
α = 106.53°, β = 90.00°, γ = 90.00°
Fractional coordinates of all 8 atoms:
Ac (0.5000, 0.2392, 0.1842)
Ac (0.5000, 0.7608, 0.8158)
Ac (0.0000, 0.2782, 0.8165)
Ac (0.0000, 0.7218, 0.1835)
Ni (0.5000, 0.5000, 0.0000)
Pd (0.0000, 0.0000, 0.0000)
I (0.5000, 0.0000, 0.5000)
I (0.0000, 0.5000, 0.5000)

Calculated values
Its space group is P2/m (10). The formation energy without anion corrections is -0.8421 eV/atom.

The following is a DFT calculation (PBE) of a geometry-optimized Ac2PrNi2I2 structure.

a = 5.0714 Å, b = 5.0714 Å, c = 9.6484 Å
α = 105.24°, β = 105.24°, γ = 90.00°
Fractional coordinates of all 7 atoms:
Ac (0.3904, 0.3904, 0.7809)
Ac (0.6096, 0.6096, 0.2191)
Pr (0.0000, 0.0000, 0.0000)
Ni (0.0000, 0.5000, 0.0000)
Ni (0.5000, 0.0000, 0.0000)
I (0.1901, 0.1901, 0.3802)
I (0.8099, 0.8099, 0.6198)

Calculated values
Its space group is I4/mmm (139). The formation energy without anion corrections is -0.5961 eV/atom.

The following is a DFT calculation (PBE) of a geometry-optimized AcPrNiI structure.

a = 4.2591 Å, b = 4.2586 Å, c = 8.7318 Å
α = 90.00°, β = 104.12°, γ = 120.00°
Fractional coordinates of all 4 atoms:
Ac (0.5159, 0.1559, 0.6870)
Pr (0.0926, 0.9442, 0.0519)
Ni (0.3096, 0.5528, 0.8777)
I (0.9599, 0.3778, 0.3530)

Calculated values
Its space group is R3m (160). The formation energy without anion corrections is -0.6767 eV/atom.

The following is a DFT calculation (PBE) of a geometry-optimized Ac8Ni3PtI4 structure.

a = 8.8055 Å, b = 10.0052 Å, c = 8.7907 Å
α = 116.09°, β = 120.06°, γ = 90.00°
Fractional coordinates of all 16 atoms:
Ac (0.2301, 0.6833, 0.9525)
Ac (0.2302, 0.6834, 0.4605)
Ac (0.2732, 0.3191, 0.5465)
Ac (0.7224, 0.6833, 0.9525)
Ac (0.2776, 0.3167, 0.0475)
Ac (0.7268, 0.6809, 0.4535)
Ac (0.7698, 0.3166, 0.5395)
Ac (0.7699, 0.3167, 0.0475)
Ni (0.5000, 0.5000, 0.0000)
Ni (0.5000, 0.5000, 0.5000)
Ni (0.0000, 0.5000, 0.5000)
Pt (0.0000, 0.5000, 0.0000)
I (0.5000, 0.0000, 0.0000)
I (0.5000, 0.0000, 0.5000)
I (0.0000, 0.0000, 0.0000)
I (0.0000, 0.0000, 0.5000)

Calculated values
Its space group is C2/m (12). The formation energy without anion corrections is -0.8412 eV/atom.

The following is a DFT calculation (PBE) of a geometry-optimized Ac8NiPt3I4 structure.

a = 8.9141 Å, b = 10.0527 Å, c = 8.9142 Å
α = 116.36°, β = 120.00°, γ = 90.00°
Fractional coordinates of all 16 atoms:
Ac (0.2257, 0.6839, 0.9585)
Ac (0.2256, 0.6839, 0.4513)
Ac (0.2711, 0.3135, 0.5422)
Ac (0.7329, 0.6839, 0.9585)
Ac (0.2671, 0.3161, 0.0415)
Ac (0.7289, 0.6865, 0.4578)
Ac (0.7744, 0.3161, 0.5487)
Ac (0.7743, 0.3161, 0.0415)
Ni (0.0000, 0.5000, 0.0000)
Pt (0.5000, 0.5000, 0.0000)
Pt (0.5000, 0.5000, 0.5000)
Pt (0.0000, 0.5000, 0.5000)
I (0.5000, 0.0000, 0.0000)
I (0.5000, 0.0000, 0.5000)
I (0.0000, 0.0000, 0.0000)
I (0.0000, 0.0000, 0.5000)

Calculated values
Its space group is C2/m (12). The formation energy without anion corrections is -1.0984 eV/atom.